## a
First-principles (PBE) data for a geometry-optimized Ba2VRu structure, as listed in Alexandria.

Cell lengths 5.4926, 5.4926, 5.4926 Å; angles 60.00, 60.00, 60.00 degrees
Last column: nearest neighbours and their distance in Å.
Sites, in units of the cell vectors:
Ba: 0.2500 0.2500 0.2500  4 Ru 3.36, 4 V 3.36
Ba: 0.7500 0.7500 0.7500  4 Ru 3.36, 4 V 3.36
V: 0.0000 0.0000 0.0000  8 Ba 3.36
Ru: 0.5000 0.5000 0.5000  8 Ba 3.36

---

## b
First-principles (PBE) data for a geometry-optimized Ba2VRu structure, as listed in Alexandria.

Cell lengths 8.7911, 8.7911, 8.7911 Å; angles 94.00, 94.00, 149.36 degrees
Last column: nearest neighbours and their distance in Å.
Sites, in units of the cell vectors:
Ba: 0.3750 0.0562 0.1812  2 Ru 3.16
Ba: 0.8062 0.6250 0.6812  2 Ru 3.16
Ba: 0.8750 0.1938 0.8188  2 Ru 3.16
Ba: 0.9438 0.1250 0.3188  2 Ru 3.16
V: 0.2500 0.7500 0.5000  2 Ru 2.32
V: 0.5000 0.5000 0.0000  2 Ru 2.32
Ru: 0.0000 0.0000 0.0000  2 V 2.32
Ru: 0.7500 0.2500 0.5000  2 V 2.32

---

In terms of stability, b leads; the second structure lies 36.6 kJ/mol of atoms higher.

---

## a
First-principles (PBE) data for a geometry-optimized Ba2RuW structure, as listed in Alexandria.

Cell lengths 8.8418, 8.8418, 8.8418 Å; angles 94.05, 94.05, 149.17 degrees
Last column: nearest neighbours and their distance in Å.
Sites, in units of the cell vectors:
Ba: 0.3750 0.1985 0.3235  2 Ru 3.20
Ba: 0.8015 0.1250 0.1765  2 Ru 3.20
Ba: 0.8750 0.0515 0.6765  2 Ru 3.20
Ba: 0.9485 0.6250 0.8235  2 Ru 3.20
Ru: 0.0000 0.0000 0.0000  2 W 2.35
Ru: 0.7500 0.2500 0.5000  2 W 2.35
W: 0.2500 0.7500 0.5000  2 Ru 2.35
W: 0.5000 0.5000 0.0000  2 Ru 2.35

---

## b
First-principles (PBE) data for a geometry-optimized Ba2RuW structure, as listed in Alexandria.

Cell lengths 3.1361, 3.1361, 10.5133 Å; angles 90.00, 90.00, 90.00 degrees
Last column: nearest neighbours and their distance in Å.
Sites, in units of the cell vectors:
Ba: 0.0000 0.0000 0.2376  4 Ba 3.14, 4 Ru 3.34
Ba: 0.0000 0.0000 0.7624  4 Ba 3.14, 4 Ru 3.34
Ru: 0.5000 0.5000 0.0000  4 Ru 3.14, 8 Ba 3.34
W: 0.5000 0.5000 0.5000  4 W 3.14

---

## c
First-principles (PBE) data for a geometry-optimized Ba2RuW structure, as listed in Alexandria.

Cell lengths 3.8328, 3.8328, 7.6421 Å; angles 90.00, 90.00, 90.00 degrees
Last column: nearest neighbours and their distance in Å.
Sites, in units of the cell vectors:
Ba: 0.0000 0.0000 0.2336  4 Ru 3.25, 4 W 3.39, 1 Ba 3.57
Ba: 0.0000 0.0000 0.7664  4 Ru 3.25, 4 W 3.39, 1 Ba 3.57
Ru: 0.5000 0.5000 0.0000  8 Ba 3.25
W: 0.5000 0.5000 0.5000  8 Ba 3.39

---

In terms of stability, a leads; the second structure lies 41.3 kJ/mol of atoms higher.

---

## a
First-principles (PBE) data for a geometry-optimized BaY3Ru structure, as listed in Alexandria.

Cell lengths 5.4583, 5.4583, 5.4583 Å; angles 82.36, 82.36, 82.36 degrees
Last column: nearest neighbours and their distance in Å.
Sites, in units of the cell vectors:
Ba: 0.0000 0.0000 0.0000  1 Ru 2.79
Y: 0.4139 0.4139 0.8935  1 Ru 2.64
Y: 0.4139 0.8935 0.4139  1 Ru 2.64
Y: 0.8935 0.4139 0.4139  1 Ru 2.64
Ru: 0.7375 0.7375 0.7375  3 Y 2.64, 1 Ba 2.79

---

## b
First-principles (PBE) data for a geometry-optimized BaY3Ru structure, as listed in Alexandria.

Cell lengths 8.0911, 8.0911, 6.1486 Å; angles 90.00, 90.00, 128.87 degrees
Last column: nearest neighbours and their distance in Å.
Sites, in units of the cell vectors:
Ba: 0.0862 0.9138 0.7500  2 Ru 3.73, 10 Y 3.73-4.02, 2 Ba 3.97
Ba: 0.9138 0.0862 0.2500  2 Ru 3.73, 10 Y 3.73-4.02, 2 Ba 3.97
Y: 0.0714 0.4433 0.7500  1 Ru 2.70
Y: 0.4433 0.0714 0.2500  1 Ru 2.70
Y: 0.5000 0.5000 0.0000  2 Ru 3.00, 2 Y 3.07
Y: 0.5000 0.5000 0.5000  2 Ru 3.00, 2 Y 3.07
Y: 0.5567 0.9286 0.7500  1 Ru 2.70
Y: 0.9286 0.5567 0.2500  1 Ru 2.70
Ru: 0.3236 0.6764 0.2500  4 Y 2.70-3.00
Ru: 0.6764 0.3236 0.7500  4 Y 2.70-3.00

---

## c
First-principles (PBE) data for a geometry-optimized BaY3Ru structure, as listed in Alexandria.

Cell lengths 6.6631, 7.1090, 6.9805 Å; angles 90.00, 90.53, 90.00 degrees
Last column: nearest neighbours and their distance in Å.
Sites, in units of the cell vectors:
Ba: 0.1102 0.2500 0.1381  1 Ru 3.25
Ba: 0.8898 0.7500 0.8619  1 Ru 3.25
Y: 0.1163 0.7500 0.3772  1 Ru 2.68
Y: 0.4083 0.0063 0.7507  2 Ru 2.78-2.85
Y: 0.4083 0.4937 0.7507  2 Ru 2.78-2.85
Y: 0.5917 0.5063 0.2493  2 Ru 2.78-2.85
Y: 0.5917 0.9937 0.2493  2 Ru 2.78-2.85
Y: 0.8837 0.2500 0.6228  1 Ru 2.68
Ru: 0.3344 0.7500 0.0567  5 Y 2.68-2.85
Ru: 0.6656 0.2500 0.9433  5 Y 2.68-2.85

---

## d
First-principles (PBE) data for a geometry-optimized BaY3Ru structure, as listed in Alexandria.

Cell lengths 10.4977, 10.4977, 10.4977 Å; angles 145.72, 145.72, 49.26 degrees
Last column: nearest neighbours and their distance in Å.
Sites, in units of the cell vectors:
Ba: 0.1977 0.1977 0.0000  2 Ru 3.25
Ba: 0.8023 0.8023 0.0000  2 Ru 3.25
Y: 0.0326 0.5326 0.5000  2 Ru 3.16, 2 Y 3.38
Y: 0.1287 0.3758 0.7529  2 Ru 2.82-2.87, 2 Y 3.06-3.13
Y: 0.4674 0.9674 0.5000  2 Ru 3.16, 2 Y 3.38
Y: 0.6229 0.3758 0.2471  2 Ru 2.82-2.87, 2 Y 3.06-3.13
Y: 0.6242 0.3771 0.7529  2 Ru 2.82-2.87, 2 Y 3.06-3.13
Y: 0.6242 0.8713 0.2471  2 Ru 2.82-2.87, 2 Y 3.06-3.13
Ru: 0.5000 0.5000 0.0000  8 Y 2.82-3.16
Ru: 0.7500 0.2500 0.5000  4 Y 2.87

---

In terms of stability, c leads; the second structure lies 8.7 kJ/mol of atoms higher.